(1)
Entry from Alexandria: an optimized crystal structure of Ba3In4Pb4 (GGA-PBE).

Cell and atoms, written as POSCAR:
```
Ba3In4Pb4
1.0
-2.7859 4.0254 8.6389
2.7859 -4.0254 8.6389
2.7859 4.0254 -8.6389
Ba In Pb
3 4 4
Cartesian
0.0000 0.0000 0.0000
2.7859 0.0000 6.4766
0.0000 4.0254 2.1623
2.7859 1.5676 -2.9933
2.7859 1.5676 2.9933
0.0000 2.4578 5.6456
0.0000 2.4578 11.6322
0.0000 0.0000 3.6455
2.7859 2.4711 0.0000
0.0000 1.5542 8.6389
0.0000 0.0000 13.6323
```

Computed properties:
Formation energy in eV/f.u.: -4.249

(2)
Entry from Alexandria: an optimized crystal structure of TlP2RhCl (GGA-PBE).

Cell and atoms, written as POSCAR:
```
TlP2RhCl
1.0
4.4287 0.0000 0.0000
0.0000 4.4287 0.0000
0.0000 0.0000 8.1211
Tl P Rh Cl
1 2 1 1
Cartesian
0.0000 0.0000 0.0000
0.0000 2.2144 4.0605
2.2144 0.0000 4.0605
2.2144 2.2144 4.0605
2.2144 2.2144 0.0000
```

Computed properties:
Formation energy (no corrections) in meV per atom: 60
Offset from the most stable computed form in eV/f.u.: 0.000

(3)
Entry from Alexandria: an optimized crystal structure of K3Tl2InI6 (GGA-PBE).

Cell and atoms, written as POSCAR:
```
K3Tl2InI6
1.0
11.0010 -2.5168 0.0000
11.0010 2.5168 0.0000
-2.3563 0.0000 9.8199
K Tl In I
3 2 1 6
Cartesian
0.0000 0.0000 0.0000
5.7579 0.0000 6.5455
13.8878 0.0000 3.2745
6.9443 0.0000 1.6409
12.7014 0.0000 8.1791
-1.1781 0.0000 4.9100
2.2767 0.0000 5.7229
3.4723 0.0000 0.8176
10.4109 0.0000 2.4743
9.2348 0.0000 7.3456
16.1734 0.0000 9.0023
17.3689 0.0000 4.0971
```

Computed properties:
Formation energy (no corrections) in meV per atom: -1035

(4)
Entry from Alexandria: an optimized crystal structure of SbTe2Cl (GGA-PBE).

Cell and atoms, written as POSCAR:
```
SbTe2Cl
1.0
3.3190 0.0000 0.0000
0.0000 3.3190 0.0000
0.0000 0.0000 9.5377
Sb Te Cl
1 2 1
Cartesian
0.0000 0.0000 0.0000
1.6595 1.6595 2.4043
1.6595 1.6595 7.1334
0.0000 0.0000 4.7688
```

Computed properties:
Formation energy (no corrections) in meV per atom: 189
Offset from the most stable computed form in eV/f.u.: 1.788

(5)
Entry from Alexandria: an optimized crystal structure of Cr5Ni24 (GGA-PBE).

Cell and atoms, written as POSCAR:
```
Cr5Ni24
1.0
-4.3415 4.3415 4.3415
4.3415 -4.3415 4.3415
4.3415 4.3415 -4.3415
Cr Ni
5 24
Cartesian
0.0000 0.0000 0.0000
2.7483 2.7483 -2.7483
2.7483 -2.7483 2.7483
1.5932 1.5932 1.5932
-2.7483 2.7483 2.7483
2.4538 0.8039 -0.8039
2.4538 -0.8039 0.8039
4.7518 1.1985 -1.1985
4.7518 -1.1985 1.1985
6.2291 0.8039 0.8039
0.8039 2.4538 -0.8039
0.8039 -0.8039 2.4538
3.9311 1.1985 1.1985
3.1429 3.1429 -0.4104
3.1429 -0.4104 3.1429
-0.8039 2.4538 0.8039
-0.8039 0.8039 2.4538
1.1985 4.7518 -1.1985
1.1985 -1.1985 4.7518
1.1985 3.9311 1.1985
1.1985 1.1985 3.9311
3.5376 3.5376 1.8876
3.5376 1.8876 3.5376
-1.1985 4.7518 1.1985
-1.1985 1.1985 4.7518
-0.4104 3.1429 3.1429
0.8039 6.2291 0.8039
0.8039 0.8039 6.2291
1.8876 3.5376 3.5376
```

Computed properties:
Formation energy in eV/f.u.: 2.914

(6)
Entry from Alexandria: an optimized crystal structure of Nb2Tc (GGA-PBE).

Cell and atoms, written as POSCAR:
```
Nb2Tc
1.0
4.8749 -2.2724 0.0000
4.8749 2.2724 0.0000
-3.1917 0.0000 4.5772
Nb Tc
4 2
Cartesian
-0.7436 0.0000 1.1855
0.3064 0.0000 4.1817
6.2517 0.0000 0.3955
7.3017 0.0000 3.3917
1.9228 0.0000 1.8858
4.6353 0.0000 2.6914
```

Computed properties:
Formation energy in eV/f.u.: -0.683
Offset from the most stable computed form in eV/f.u.: 0.144

(7)
Entry from Alexandria: an optimized crystal structure of La6YEr5 (GGA-PBE).

Cell and atoms, written as POSCAR:
```
La6YEr5
1.0
6.1654 0.0000 0.0000
0.0000 7.4300 0.0000
-0.5131 0.0000 8.8912
La Y Er
6 1 5
Cartesian
0.0000 1.8398 0.0000
0.0000 5.5902 0.0000
1.7122 1.8474 5.9147
1.7122 5.5825 5.9147
3.9402 1.8474 2.9765
3.9402 5.5825 2.9765
3.0827 3.7150 0.0000
0.8510 3.7150 2.9633
0.8577 0.0000 2.9616
3.0827 0.0000 0.0000
4.7946 0.0000 5.9295
4.8013 3.7150 5.9278
```

Computed properties:
Formation energy in eV/f.u.: 0.305

(8)
Entry from Alexandria: an optimized crystal structure of MgCd4In (GGA-PBE).

Cell and atoms, written as POSCAR:
```
MgCd4In
1.0
3.1653 -4.0092 0.0000
3.1653 4.0092 0.0000
-3.0919 0.0000 5.6507
Mg Cd In
1 4 1
Cartesian
0.0000 0.0000 0.0000
-0.7872 1.4554 4.2997
-0.7872 -1.4554 4.2997
4.0259 1.4554 1.3510
4.0259 -1.4554 1.3510
1.6194 0.0000 2.8253
```

Computed properties:
Formation energy in eV/f.u.: -0.007
Offset from the most stable computed form in eV/f.u.: 0.136

Number 1: N(E_F) 4.4 states/eV/cell. Number 2: N(E_F) 3.1 states/eV/cell. Number 3: N(E_F) 0.0 states/eV/cell. Number 4: N(E_F) 1.9 states/eV/cell. Number 5: N(E_F) 58.4 states/eV/cell. Number 6: N(E_F) 3.3 states/eV/cell. Number 7: N(E_F) 19.3 states/eV/cell. Number 8: N(E_F) 1.9 states/eV/cell.